Entry 1:
Rb3Tc2O7 after structural relaxation. Source: the Alexandria database, functional GGA-PBE.

Output
calculated total energy = -6.355 eV per atom
total moment = 0.00 μB per atom
uncorrected formation energy = -1493 meV per atom
SG = Cmmm, No. 65
crystal system = orthorhombic

a b c (Å): 3.950 3.962 12.147
angles (deg): 99.39 90.00 90.00
Sites, in units of the cell vectors:
O: 0.000 0.162 0.325
O: 0.500 0.916 0.832
O: 0.500 0.084 0.168
O: 0.000 0.838 0.675
O: 0.000 0.416 0.832
O: 0.000 0.584 0.168
O: 0.000 0.000 0.000
Tc: 0.000 0.084 0.169
Rb: 0.500 0.500 0.000
Rb: 0.500 0.322 0.645
Tc: 0.000 0.916 0.831
Rb: 0.500 0.678 0.355


Entry 2:
CuRh3 after structural relaxation. Source: the Alexandria database, functional GGA-PBE.

Output
calculated total energy = -6.487 eV per atom
total moment = 0.00 μB per atom
SG = P4/mmm, No. 123
crystal system = tetragonal
energy of formation from the pure elements = 0.051 eV per atom

a b c (Å): 2.730 2.730 7.392
angles (deg): 90.00 90.00 90.00
Sites, in units of the cell vectors:
Cu: 0.000 0.000 0.000
Rh: 0.500 0.500 0.246
Rh: 0.000 0.000 0.500
Rh: 0.500 0.500 0.754


Entry 3:
BeNi3Os after structural relaxation. Source: the Alexandria database, functional GGA-PBE.

Output
polymorph energy (0 for the lowest one) = 1075 meV/atom
calculated total energy = -4.801 eV per atom
total moment = 0.00 μB per atom
SG = Pm-3m, No. 221
crystal system = cubic
energy of formation from the pure elements = 1.659 eV per atom

a b c (Å): 4.477 4.477 4.477
angles (deg): 90.00 90.00 90.00
Sites, in units of the cell vectors:
Ni: 0.500 0.000 0.000
Os: 0.000 0.000 0.000
Ni: 0.000 0.500 0.000
Be: 0.500 0.500 0.500
Ni: 0.000 0.000 0.500


Entry 4:
Ac2TbTh after structural relaxation. Source: the Alexandria database, functional GGA-PBE.

Output
polymorph energy (0 for the lowest one) = 0 meV/atom
calculated total energy = -4.947 eV per atom
total moment = 0.00 μB per atom
SG = P4/mmm, No. 123
crystal system = tetragonal
energy of formation from the pure elements = 0.120 eV per atom

a b c (Å): 3.773 3.773 10.654
angles (deg): 90.00 90.00 90.00
Sites, in units of the cell vectors:
Th: 0.500 0.500 0.000
Tb: 0.500 0.500 0.500
Ac: 0.000 0.000 0.247
Ac: 0.000 0.000 0.753


Entry 5:
Tm2FeP after structural relaxation. Source: the Alexandria database, functional GGA-PBE.

Output
calculated total energy = -5.717 eV per atom
total moment = 0.58 μB per atom
SG = R-3m, No. 166
crystal system = trigonal
energy of formation from the pure elements = -0.013 eV per atom

a b c (Å): 3.607 3.607 8.965
angles (deg): 78.39 78.39 60.00
Each line ends with the local moment (μB).
Sites, in units of the cell vectors:
Tm: 0.897 0.897 0.309  -0.19
P: 0.500 0.500 0.500  0.00
Tm: 0.103 0.103 0.691  -0.19
Fe: 0.000 0.000 0.000  2.80


Entry 6:
TmPuCuGe after structural relaxation. Source: the Alexandria database, functional GGA-PBE.

Output
calculated total energy = -7.218 eV per atom
total moment = 1.54 μB per atom
SG = F-43m, No. 216
crystal system = cubic
energy of formation from the pure elements = -0.338 eV per atom

a b c (Å): 4.949 4.949 4.949
angles (deg): 60.00 60.00 60.00
Each line ends with the local moment (μB).
Sites, in units of the cell vectors:
Cu: 0.500 0.500 0.500  0.06
Tm: 0.750 0.750 0.750  0.34
Ge: 0.000 0.000 0.000  -0.05
Pu: 0.250 0.250 0.250  5.39


Question: What is the formula in the sixth record?
Answer: TmPuCuGe


Question: The highest total moment belongs to which entry?
Answer: TmPuCuGe


What did the sixth record say?
TmPuCuGe after structural relaxation. Source: the Alexandria database, functional GGA-PBE.

Output
calculated total energy = -7.218 eV per atom
total moment = 1.54 μB per atom
SG = F-43m, No. 216
crystal system = cubic
energy of formation from the pure elements = -0.338 eV per atom

a b c (Å): 4.949 4.949 4.949
angles (deg): 60.00 60.00 60.00
Each line ends with the local moment (μB).
Sites, in units of the cell vectors:
Cu: 0.500 0.500 0.500  0.06
Tm: 0.750 0.750 0.750  0.34
Ge: 0.000 0.000 0.000  -0.05
Pu: 0.250 0.250 0.250  5.39